PmCu2Ge | PBE-GGA | relaxed

Structure (POSCAR):
```
PmCu2Ge
1.0
4.299 0.000 0.000
0.000 4.299 0.000
0.000 0.000 4.042
Pm Cu Ge
1 2 1
Cartesian
0.000 0.000 0.000 Pm
0.000 2.150 2.021 Cu
2.150 0.000 2.021 Cu
2.150 2.150 0.000 Ge
```

- Symmetry: P4/mmm
- D(E_F): 2.963 states/eV per cell
- DFT formation energy: -122 meV per atom
- Calculated total energy: -0.166 hartree per atom
- Size of the total moment: 0.0 Bohr magnetons per cell

---

Pm6CuGe5 | PBE-GGA | relaxed

Structure (POSCAR):
```
Pm6CuGe5
1.0
3.824 -6.596 0.000
3.824 6.596 0.000
-2.523 0.000 6.514
Pm Cu Ge
6 1 5
Cartesian
1.261 2.242 1.576 Pm
-0.005 0.000 4.874 Pm
1.261 -2.242 1.576 Pm
3.866 2.242 4.938 Pm
5.131 0.000 1.640 Pm
3.866 -2.242 4.938 Pm
2.563 0.000 3.257 Cu
0.000 0.000 0.000 Ge
2.563 4.393 3.257 Ge
3.824 2.122 0.000 Ge
3.824 -2.122 0.000 Ge
2.563 -4.393 3.257 Ge
```

- Symmetry: C2/m
- D(E_F): 9.754 states/eV per cell
- DFT formation energy: -562 meV per atom
- Calculated total energy: -0.191 hartree per atom
- Size of the total moment: 0.0 Bohr magnetons per cell